# 1
The following is a DFT calculation (PBE) of a geometry-optimized Sm6B2Br3N structure.

The structure belongs to space group C2/m (No. 12); the cell edges are 6.656, 11.529 and 7.643 Å and the angles 90.00°, 106.86° and 90.00°. The distinct sites, in fractional coordinates, are Sm at (0.224, 0.162, 0.186), Sm at (0.237, 0.500, 0.186), B at (0.000, 0.333, 0.000), Br at (0.000, 0.170, 0.500), Br at (0.000, 0.500, 0.500) and N at (0.000, 0.000, 0.000).

The final energy comes out at -66.999 eV/f.u. As for the crystal system: monoclinic. For the total magnetic moment, the calculation gives 0.0000 μB/atom.

# 2
The following is a DFT calculation (PBE) of a geometry-optimized SrBBr2N structure.

The structure belongs to space group P4/mmm (No. 123); the cell edges are 6.376, 6.376 and 2.810 Å and the angles 90.00°, 90.00° and 90.00°. The distinct sites, in fractional coordinates, are Sr at (0.000, 0.000, 0.000), B at (0.500, 0.500, 0.000), Br at (0.000, 0.500, 0.500) and N at (0.500, 0.500, 0.500).

The final energy comes out at -21.632 eV/f.u. As for the crystal system: tetragonal. For the total magnetic moment, the calculation gives 0.0000 μB/atom.

# 3
The following is a DFT calculation (PBE) of a geometry-optimized Sr2BBr2N2 structure.

The structure belongs to space group C2/m (No. 12); the cell edges are 10.132, 4.389 and 7.676 Å and the angles 90.00°, 97.89° and 90.00°. The distinct sites, in fractional coordinates, are Sr at (0.184, 0.000, 0.286), B at (0.000, 0.500, 0.500), Br at (0.128, 0.000, 0.853) and N at (0.120, 0.500, 0.446).

The final energy comes out at -38.934 eV/f.u. As for the crystal system: monoclinic. For the total magnetic moment, the calculation gives 0.1435 μB/atom.

# 4
The following is a DFT calculation (PBE) of a geometry-optimized BTe2BrN structure.

The structure belongs to space group P4/mmm (No. 123); the cell edges are 8.521, 8.521 and 2.666 Å and the angles 90.00°, 90.00° and 90.00°. The distinct sites, in fractional coordinates, are B at (0.000, 0.000, 0.000), Te at (0.000, 0.500, 0.000), Br at (0.500, 0.500, 0.500) and N at (0.000, 0.000, 0.500).

The final energy comes out at -22.682 eV/f.u. As for the crystal system: tetragonal. The energy above the most stable polymorph in this dataset is 0.0 meV per atom. For the total magnetic moment, the calculation gives 0.0000 μB/atom.

In order of appearance, DOS at the Fermi energy = 3.68 0.96 3.14 2.89 states/eV/f.u..
In order of appearance, formation energy (no corrections) = -0.999 -0.320 -1.271 0.055 eV/atom.